Density functional theory data (PBE) for Ta2MnCu after structural relaxation.

## Properties
- crystal system = monoclinic
- spin magnetization (μB/atom) = 0.31
- calculated volume (Å³/atom) = 15.17
- calculated total energy (eV per atom) = -9.092

CIF file:
```
data_Ta2MnCu
_symmetry_space_group_name_H-M 'C 1 m 1'
_symmetry_Int_Tables_number 8
_symmetry_space_group_name_Hall 'C -2y'
_cell_length_a 9.2936
_cell_length_b 2.9307
_cell_length_c 4.6140
_cell_angle_alpha 90.00
_cell_angle_beta 105.02
_cell_angle_gamma 90.00
loop_
_atom_site_label
_atom_site_type_symbol
_atom_site_fract_x
_atom_site_fract_y
_atom_site_fract_z
Ta1 Ta 0.0000 0.0000 0.0000
Ta2 Ta 0.2299 0.0000 0.6912
Mn1 Mn 0.2492 0.5000 0.2266
Cu1 Cu 0.4770 0.0000 0.4783
```